Record 1
Here is a relaxed structure of CaErTl from the Alexandria database. Energies are from GGA-PBE.

Calculated values
- total moment (μB/f.u.) = 0.0
- ΔH_f (0 K) (kJ/mol of formula units) = -36
- E (eV/atom) = -3.102
- ρ (g/cm³) = 6.73
- ΔE to the lowest computed polymorph (meV per atom) = 175.9

Lattice parameters (Å, degrees): 5.236 5.236 5.236 60.00 60.00 60.00
Sites, in units of the cell vectors:
Ca: 0.000 0.000 0.000
Er: 0.500 0.500 0.500
Tl: 0.750 0.750 0.750

***

Record 2
Here is a relaxed structure of LiLaGa2Co from the Alexandria database. Energies are from GGA-PBE.

Calculated values
- total moment (μB/f.u.) = 0.0
- ΔH_f (0 K) (kJ/mol of formula units) = -169
- E (eV/atom) = -4.351
- ρ (g/cm³) = 5.89

Lattice parameters (Å, degrees): 4.579 4.579 4.630 90.00 90.00 90.00
Sites, in units of the cell vectors:
Li: 0.000 0.000 0.000
La: 0.500 0.500 0.000
Ga: 0.000 0.500 0.500
Ga: 0.500 0.000 0.500
Co: 0.000 0.000 0.500

***

Record 3
Here is a relaxed structure of SrPmIn from the Alexandria database. Energies are from GGA-PBE.

Calculated values
- total moment (μB/f.u.) = 0.3
- ΔH_f (0 K) (kJ/mol of formula units) = -70
- E (eV/atom) = -3.300
- ρ (g/cm³) = 5.20
- ΔE to the lowest computed polymorph (meV per atom) = 82.7

Lattice parameters (Å, degrees): 14.646 14.646 14.646 164.59 164.59 21.86
Sites, in units of the cell vectors:
Sr: 0.072 0.072 0.000
Sr: 0.928 0.928 0.000
Pm: 0.210 0.210 0.000
Pm: 0.790 0.790 0.000
In: 0.353 0.353 0.000
In: 0.647 0.647 0.000

***

Record 4
Here is a relaxed structure of Tl2TeSe from the Alexandria database. Energies are from GGA-PBE.

Calculated values
- total moment (μB/f.u.) = 0.0
- energy relative to the elements, uncorrected (meV per atom) = -110
- E (eV/atom) = -2.950
- ρ (g/cm³) = 8.14
- ΔE to the lowest computed polymorph (meV per atom) = 106.2

Lattice parameters (Å, degrees): 6.978 6.978 6.978 143.91 140.84 54.30
Sites, in units of the cell vectors:
Tl: 0.191 0.191 0.000
Tl: 0.809 0.809 0.000
Te: 0.500 0.000 0.500
Se: 0.000 0.500 0.500

***

Q: ρ of number 1 (CaErTl)?
A: 6.73 g/cm³

***

Q: The lowest ρ belongs to which entry?
A: SrPmIn

***

What did the second record say?
Here is a relaxed structure of LiLaGa2Co from the Alexandria database. Energies are from GGA-PBE.

Calculated values
- total moment (μB/f.u.) = 0.0
- ΔH_f (0 K) (kJ/mol of formula units) = -169
- E (eV/atom) = -4.351
- ρ (g/cm³) = 5.89

Lattice parameters (Å, degrees): 4.579 4.579 4.630 90.00 90.00 90.00
Sites, in units of the cell vectors:
Li: 0.000 0.000 0.000
La: 0.500 0.500 0.000
Ga: 0.000 0.500 0.500
Ga: 0.500 0.000 0.500
Co: 0.000 0.000 0.500

***

Q: Which of these has the lowest E?
A: LiLaGa2Co